Compound: Li4Mn5SnO12
Source: the Alexandria database
Functional: PBE with a Hubbard U
Structure: optimized geometry

SG: C2/m, No. 12
V: 11.26 Å³ per atom
density: 4.1 g cm⁻³
total moment: 19.00 μB/cell
total DFT energy (no corrections): -6.59 eV per atom

Unit cell a=5.2388 b=5.2388 c=10.2821 alpha=90.51 beta=90.51 gamma=118.59
With the nearest neighbours (Å) after each atom.
Fractional positions:
Li 0.1009 0.6509 0.7460  4 O 2.02-2.16
Li 0.3491 0.8991 0.2540  4 O 2.02-2.16
Li 0.6509 0.1009 0.7460  4 O 2.02-2.16
Li 0.8991 0.3491 0.2540  4 O 2.02-2.16
Mn 0.0000 0.0000 0.5000  6 O 1.95-2.14
Mn 0.1643 0.8357 0.0000  4 O 1.96-1.97
Mn 0.3364 0.6636 0.5000  6 O 1.95-2.15
Mn 0.6636 0.3364 0.5000  6 O 1.95-2.15
Mn 0.8357 0.1643 0.0000  4 O 1.96-1.97
Sn 0.5000 0.5000 0.0000  6 O 2.10-2.11
O 0.0238 0.6583 0.3946  3 Mn 1.95-2.15, 2 Li 2.02-2.15
O 0.1506 0.1506 0.9031  2 Mn 1.96, 1 Sn 2.10
O 0.1916 0.5481 0.1130  1 Mn 1.97, 2 Li 2.02-2.16, 1 Sn 2.11
O 0.3190 0.3190 0.4107  3 Mn 1.95-1.98
O 0.3417 0.9762 0.6054  3 Mn 1.95-2.15, 2 Li 2.02-2.15
O 0.4519 0.8084 0.8870  1 Mn 1.97, 2 Li 2.02-2.16, 1 Sn 2.11
O 0.5481 0.1916 0.1130  1 Mn 1.97, 2 Li 2.02-2.16, 1 Sn 2.11
O 0.6583 0.0238 0.3946  3 Mn 1.95-2.15, 2 Li 2.02-2.15
O 0.6810 0.6810 0.5893  3 Mn 1.95-1.98
O 0.8084 0.4519 0.8870  1 Mn 1.97, 2 Li 2.02-2.16, 1 Sn 2.11
O 0.8494 0.8494 0.0969  2 Mn 1.96, 1 Sn 2.10
O 0.9762 0.3417 0.6054  3 Mn 1.95-2.15, 2 Li 2.02-2.15